Record 1
The following is a SCAN calculation of a crystal of Cu2AgAu relaxed with PBEsol, from Alexandria via LeMat-Bulk.

a = 2.9175 Å, b = 4.3647 Å, c = 5.1335 Å
α = 115.16°, β = 106.51°, γ = 90.00°
Closest atoms and distances in Å follow each position.
Fractional positions:
Ag  0.5114  0.5114  0.0227  6 Cu 2.63-2.66, 2 Au 2.82, 2 Ag 2.92
Au  0.7372  0.2372  0.4745  6 Cu 2.64, 2 Ag 2.82, 2 Au 2.92
Cu  0.2640  0.7640  0.5281  2 Cu 2.45, 4 Au 2.64, 2 Ag 2.66
Cu  0.9874  0.9874  0.9747  2 Cu 2.45, 4 Ag 2.63, 2 Au 2.64

VASP energy = -130.86 eV for the cell shown
E_form = 14 meV per atom
Density of states at the Fermi level = 0.315 states/eV/atom
Space group = Imm2

Record 2
The following is a SCAN calculation of a crystal of Cu2AgAu relaxed with PBEsol, from Alexandria via LeMat-Bulk.

a = 3.9977 Å, b = 4.5146 Å, c = 3.9977 Å
α = 63.72°, β = 90.00°, γ = 116.28°
Closest atoms and distances in Å follow each position.
Fractional positions:
Ag  0.5000  0.0000  0.5000  8 Cu 2.66, 4 Au 2.83
Cu  0.7500  0.5000  0.7500  4 Ag 2.66, 4 Au 2.66, 4 Cu 2.83
Au  0.0000  0.0000  0.0000  8 Cu 2.66, 4 Ag 2.83
Cu  0.2500  0.5000  0.2500  4 Au 2.66, 4 Ag 2.66, 4 Cu 2.83

VASP energy = -130.97 eV for the cell shown
E_form = -12 meV per atom
Density of states at the Fermi level = 0.300 states/eV/atom
Space group = I4/mmm

| no. | excess energy over the best structure of this formula in the dataset (eV/atom) |
| --- | --- |
| 1 | 0.027 |
| 2 | 0.001 |